Ni6Ir5: relaxed, GGA-PBE.

Structure (POSCAR):
```
Ni6Ir5
1.0
3.632 -4.882 0.000
3.632 4.882 0.000
-1.902 0.000 4.080
Ni Ir
6 5
direct
0.050 0.319 0.129
0.187 0.187 0.631
0.319 0.050 0.129
0.681 0.950 0.871
0.813 0.813 0.369
0.950 0.681 0.871
0.222 0.778 0.500
0.361 0.639 0.000
0.500 0.500 0.500
0.639 0.361 0.000
0.778 0.222 0.500
```

## Properties
formation energy from the elements: 0.181 eV/atom
mass density: 15.1 Mg/m³
space group: C2/m (12)
crystal system: monoclinic
calculated total energy: -0.2572 Ha/atom

=====

Rb3NaPa3Se8: relaxed, GGA-PBE.

Structure (POSCAR):
```
Rb3NaPa3Se8
1.0
4.250 2.454 8.062
-4.250 2.454 8.062
0.000 -4.908 8.062
Rb Na Pa Se
3 1 3 8
direct
0.000 0.500 0.500
0.500 0.000 0.500
0.500 0.500 0.000
0.500 0.500 0.500
0.000 0.000 0.500
0.000 0.500 0.000
0.500 0.000 0.000
0.210 0.742 0.742
0.233 0.233 0.233
0.258 0.258 0.790
0.258 0.790 0.258
0.742 0.210 0.742
0.742 0.742 0.210
0.767 0.767 0.767
0.790 0.258 0.258
```

## Properties
mass density: 5.3 Mg/m³
space group: R-3m (166)
formation energy (no corrections): -1.35 eV per atom
crystal system: trigonal
calculated total energy: -0.1980 Ha/atom

=====

Na2SrIO4: relaxed, GGA-PBE.

Structure (POSCAR):
```
Na2SrIO4
1.0
-3.058 3.058 3.383
3.058 -3.058 3.383
3.058 3.058 -3.383
Na Sr I O
2 1 1 4
direct
0.000 0.000 0.000
0.750 0.250 0.500
0.500 0.500 0.000
0.250 0.750 0.500
0.031 0.467 0.029
0.438 0.002 0.971
0.533 0.562 0.564
0.998 0.969 0.436
```

## Properties
mass density: 4.3 Mg/m³
space group: I-4 (82)
formation energy (no corrections): -1.35 eV per atom
crystal system: tetragonal
calculated total energy: -0.1677 Ha/atom

=====

Pu2SiP: relaxed, GGA-PBE.

Structure (POSCAR):
```
Pu2SiP
1.0
2.093 -11.051 0.000
2.093 11.051 0.000
0.000 0.000 3.921
Pu Si P
4 2 2
direct
0.066 0.934 0.750
0.317 0.683 0.750
0.683 0.317 0.250
0.934 0.066 0.250
0.466 0.534 0.750
0.534 0.466 0.250
0.191 0.809 0.750
0.809 0.191 0.250
```

## Properties
energy relative to the lowest polymorph listed for this composition: 0 meV per atom
mass density: 10.0 Mg/m³
space group: Cmcm (63)
formation energy (no corrections): -0.76 eV per atom
crystal system: orthorhombic
calculated total energy: -0.3907 Ha/atom

=====

SrPtCl2: relaxed, GGA-PBE.

Structure (POSCAR):
```
SrPtCl2
1.0
6.091 -2.105 0.000
6.091 2.105 0.000
-0.029 0.000 4.813
Sr Pt Cl
1 1 2
direct
0.000 0.000 0.000
0.500 0.500 0.500
0.348 0.348 0.218
0.652 0.652 0.782
```

## Properties
energy relative to the lowest polymorph listed for this composition: 0 meV per atom
mass density: 4.8 Mg/m³
space group: C2/m (12)
formation energy (no corrections): -1.32 eV per atom
crystal system: monoclinic
calculated total energy: -0.1536 Ha/atom

=====

CuTcRh: relaxed, GGA-PBE.

Structure (POSCAR):
```
CuTcRh
1.0
2.730 0.000 0.000
0.000 2.730 0.000
0.000 0.000 11.017
Cu Tc Rh
2 2 2
direct
0.250 0.250 0.073
0.750 0.750 0.927
0.250 0.250 0.405
0.750 0.750 0.595
0.250 0.250 0.758
0.750 0.750 0.242
```

## Properties
energy relative to the lowest polymorph listed for this composition: 0 meV per atom
formation energy from the elements: -0.038 eV/atom
mass density: 10.7 Mg/m³
space group: P4/nmm (129)
crystal system: tetragonal
calculated total energy: -0.2686 Ha/atom

=====

HgPtAu2: relaxed, GGA-PBE.

Structure (POSCAR):
```
HgPtAu2
1.0
2.023 1.168 6.070
-2.023 1.168 6.070
0.000 -2.336 6.070
Hg Pt Au
1 1 2
direct
0.000 0.000 0.000
0.832 0.832 0.832
0.420 0.420 0.420
0.579 0.579 0.579
```

## Properties
formation energy from the elements: 0.296 eV/atom
mass density: 15.2 Mg/m³
space group: R3m (160)
crystal system: trigonal
calculated total energy: -0.1076 Ha/atom

=====

ScSbRu: relaxed, GGA-PBE.

Structure (POSCAR):
```
ScSbRu
1.0
-1.613 1.613 5.517
1.613 -1.613 5.517
1.613 1.613 -5.517
Sc Sb Ru
1 1 1
direct
0.000 0.000 0.000
0.294 0.294 0.000
0.656 0.656 0.000
```

## Properties
mass density: 7.7 Mg/m³
space group: I4mm (107)
formation energy (no corrections): -0.40 eV per atom
crystal system: tetragonal
calculated total energy: -0.2565 Ha/atom

=====

Sm4TmTl3: relaxed, GGA-PBE.

Structure (POSCAR):
```
Sm4TmTl3
1.0
-1.876 2.289 14.564
1.876 -2.289 14.564
1.876 2.289 -14.564
Sm Tm Tl
4 1 3
direct
0.098 0.098 0.000
0.214 0.214 0.000
0.786 0.786 0.000
0.902 0.902 0.000
0.000 0.500 0.500
0.339 0.339 0.000
0.500 0.000 0.500
0.661 0.661 0.000
```

## Properties
energy relative to the lowest polymorph listed for this composition: 137 meV per atom
formation energy from the elements: -0.097 eV/atom
mass density: 9.2 Mg/m³
space group: Immm (71)
crystal system: orthorhombic
calculated total energy: -0.1434 Ha/atom

=====

KTl3Au: relaxed, GGA-PBE.

Structure (POSCAR):
```
KTl3Au
1.0
5.664 0.000 0.000
0.000 5.664 0.000
0.000 0.000 5.664
K Tl Au
1 3 1
direct
0.000 0.000 0.000
0.000 0.500 0.500
0.500 0.000 0.500
0.500 0.500 0.000
0.500 0.500 0.500
```

## Properties
energy relative to the lowest polymorph listed for this composition: 159 meV per atom
formation energy from the elements: 0.039 eV/atom
mass density: 7.8 Mg/m³
space group: Pm-3m (221)
crystal system: cubic
calculated total energy: -0.0829 Ha/atom

=====

Ba3Sr3Li2Hg: relaxed, GGA-PBE.

Structure (POSCAR):
```
Ba3Sr3Li2Hg
1.0
9.710 0.000 0.000
-4.855 8.409 0.000
0.000 0.000 5.117
Ba Sr Li Hg
3 3 2 1
direct
0.000 0.598 0.000
0.402 0.402 0.000
0.598 0.000 0.000
0.000 0.241 0.500
0.241 0.000 0.500
0.759 0.759 0.500
0.333 0.667 0.500
0.667 0.333 0.500
0.000 0.000 0.000
```

## Properties
formation energy from the elements: -0.097 eV/atom
mass density: 3.5 Mg/m³
space group: P-62m (189)
crystal system: hexagonal
calculated total energy: -0.0646 Ha/atom

=====

VHIr2Cl: relaxed, GGA-PBE.

Structure (POSCAR):
```
VHIr2Cl
1.0
3.718 0.000 0.000
0.000 3.718 0.000
0.000 0.000 4.903
V H Ir Cl
1 1 2 1
direct
0.000 0.000 0.000
0.000 0.000 0.500
0.000 0.500 0.500
0.500 0.000 0.500
0.500 0.500 0.000
```

## Properties
energy relative to the lowest polymorph listed for this composition: 0 meV per atom
mass density: 11.6 Mg/m³
space group: P4/mmm (123)
crystal system: tetragonal
calculated total energy: -0.2086 Ha/atom

=====

LiLaLu2: relaxed, GGA-PBE.

Structure (POSCAR):
```
LiLaLu2
1.0
3.656 0.000 0.000
0.000 3.656 0.000
0.000 0.000 8.583
Li La Lu
1 1 2
direct
0.000 0.000 0.000
0.000 0.000 0.500
0.500 0.500 0.210
0.500 0.500 0.790
```

## Properties
energy relative to the lowest polymorph listed for this composition: 0 meV per atom
formation energy from the elements: 0.103 eV/atom
mass density: 7.2 Mg/m³
space group: P4/mmm (123)
crystal system: tetragonal
calculated total energy: -0.1421 Ha/atom

=====

TbZrP2Rh5: relaxed, GGA-PBE.

Structure (POSCAR):
```
TbZrP2Rh5
1.0
4.021 0.000 0.000
0.000 4.021 0.000
0.000 0.000 10.409
Tb Zr P Rh
1 1 2 5
direct
0.000 0.000 0.000
0.000 0.000 0.500
0.500 0.500 0.217
0.500 0.500 0.783
0.000 0.500 0.318
0.000 0.500 0.682
0.500 0.000 0.318
0.500 0.000 0.682
0.500 0.500 0.000
```

## Properties
formation energy from the elements: -0.758 eV/atom
mass density: 8.2 Mg/m³
space group: P4/mmm (123)
crystal system: tetragonal
calculated total energy: -0.2759 Ha/atom

=====

Dy3Ho2Er6Zr: relaxed, GGA-PBE.

Structure (POSCAR):
```
Dy3Ho2Er6Zr
1.0
3.023 -5.228 0.000
3.023 5.228 0.000
-2.001 0.000 11.369
Dy Ho Er Zr
3 2 6 1
direct
0.000 0.000 0.000
0.333 0.667 0.000
0.667 0.333 0.000
0.167 0.833 0.500
0.833 0.167 0.500
0.092 0.419 0.255
0.255 0.255 0.744
0.419 0.092 0.255
0.581 0.908 0.745
0.745 0.745 0.256
0.908 0.581 0.745
0.500 0.500 0.500
```

## Properties
formation energy from the elements: 0.041 eV/atom
mass density: 8.8 Mg/m³
space group: C2/m (12)
crystal system: monoclinic
calculated total energy: -0.1788 Ha/atom

=====

CsK3: relaxed, GGA-PBE.

Structure (POSCAR):
```
CsK3
1.0
-3.432 3.432 6.933
3.432 -3.432 6.933
3.432 3.432 -6.933
Cs K
1 3
direct
0.000 0.000 0.000
0.250 0.750 0.500
0.500 0.500 0.000
0.750 0.250 0.500
```

## Properties
formation energy from the elements: 0.010 eV/atom
mass density: 1.3 Mg/m³
space group: I4/mmm (139)
crystal system: tetragonal
calculated total energy: -0.0377 Ha/atom

=====

LaTb2TmTh: relaxed, GGA-PBE.

Structure (POSCAR):
```
LaTb2TmTh
1.0
3.524 0.000 0.000
0.000 5.675 0.000
0.000 0.000 8.731
La Tb Tm Th
1 2 1 1
direct
0.000 0.000 0.000
0.000 0.500 0.322
0.000 0.500 0.678
0.500 0.000 0.500
0.500 0.500 0.000
```

## Properties
formation energy from the elements: 0.297 eV/atom
mass density: 8.2 Mg/m³
space group: Pmmm (47)
crystal system: orthorhombic
calculated total energy: -0.1808 Ha/atom

=====

ScAu2Cl: relaxed, GGA-PBE.

Structure (POSCAR):
```
ScAu2Cl
1.0
3.836 0.000 0.000
0.000 3.836 0.000
0.000 0.000 5.528
Sc Au Cl
1 2 1
direct
0.000 0.000 0.000
0.500 0.500 0.246
0.500 0.500 0.754
0.000 0.000 0.500
```

## Properties
energy relative to the lowest polymorph listed for this composition: 354 meV per atom
mass density: 9.7 Mg/m³
space group: P4/mmm (123)
formation energy (no corrections): -0.48 eV per atom
crystal system: tetragonal
calculated total energy: -0.1529 Ha/atom

=====

ScHgPb2: relaxed, GGA-PBE.

Structure (POSCAR):
```
ScHgPb2
1.0
0.000 3.782 3.782
3.782 0.000 3.782
3.782 3.782 0.000
Sc Hg Pb
1 1 2
direct
0.000 0.000 0.000
0.750 0.750 0.750
0.250 0.250 0.250
0.500 0.500 0.500
```

## Properties
formation energy from the elements: -0.041 eV/atom
mass density: 10.1 Mg/m³
space group: F-43m (216)
crystal system: cubic
calculated total energy: -0.1306 Ha/atom

=====

Na2LiSmBr6: relaxed, GGA-PBE.

Structure (POSCAR):
```
Na2LiSmBr6
1.0
3.678 2.124 6.566
-3.678 2.124 6.566
0.000 -4.247 6.566
Na Li Sm Br
2 1 1 6
direct
0.000 0.000 0.000
0.496 0.496 0.496
0.204 0.204 0.204
0.694 0.694 0.694
0.075 0.424 0.816
0.309 0.925 0.575
0.424 0.816 0.075
0.575 0.309 0.925
0.816 0.075 0.424
0.925 0.575 0.309
```

## Properties
mass density: 3.7 Mg/m³
space group: R3 (146)
formation energy (no corrections): -1.67 eV per atom
crystal system: trigonal
calculated total energy: -0.1322 Ha/atom

=====

Tb5Tm2Cd: relaxed, GGA-PBE.

Structure (POSCAR):
```
Tb5Tm2Cd
1.0
3.575 0.000 0.000
1.786 7.255 0.000
0.000 0.126 18.534
Tb Tm Cd
10 4 2
direct
0.026 0.448 0.097
0.088 0.328 0.279
0.211 0.074 0.666
0.276 0.946 0.844
0.468 0.565 0.413
0.532 0.435 0.587
0.724 0.054 0.156
0.789 0.926 0.334
0.912 0.672 0.721
0.974 0.552 0.903
0.161 0.180 0.463
0.344 0.812 0.024
0.656 0.188 0.976
0.839 0.820 0.537
0.407 0.688 0.216
0.593 0.312 0.784
```

## Properties
formation energy from the elements: -0.034 eV/atom
mass density: 8.6 Mg/m³
space group: P-1 (2)
crystal system: triclinic
calculated total energy: -0.1529 Ha/atom

=====

CrAs3Pt: relaxed, GGA-PBE.

Structure (POSCAR):
```
CrAs3Pt
1.0
4.567 0.000 0.000
0.000 4.567 0.000
0.000 0.000 4.567
Cr As Pt
1 3 1
direct
0.000 0.000 0.000
0.000 0.000 0.500
0.000 0.500 0.000
0.500 0.000 0.000
0.500 0.500 0.500
```

## Properties
energy relative to the lowest polymorph listed for this composition: 0 meV per atom
formation energy from the elements: 0.469 eV/atom
mass density: 8.2 Mg/m³
space group: Pm-3m (221)
crystal system: cubic
calculated total energy: -0.2004 Ha/atom

=====

Zn3In3Hg: relaxed, GGA-PBE.

Structure (POSCAR):
```
Zn3In3Hg
1.0
7.698 0.000 0.000
0.000 7.698 0.000
0.000 0.000 7.698
Zn In Hg
6 6 2
direct
0.000 0.250 0.500
0.000 0.750 0.500
0.250 0.500 0.000
0.500 0.000 0.250
0.500 0.000 0.750
0.750 0.500 0.000
0.000 0.500 0.250
0.000 0.500 0.750
0.250 0.000 0.500
0.500 0.250 0.000
0.500 0.750 0.000
0.750 0.000 0.500
0.000 0.000 0.000
0.500 0.500 0.500
```

## Properties
formation energy from the elements: 0.394 eV/atom
mass density: 5.4 Mg/m³
space group: Pm-3n (223)
crystal system: cubic
calculated total energy: -0.0503 Ha/atom

=====

IF7: relaxed, GGA-PBE.

Structure (POSCAR):
```
IF7
1.0
6.509 0.000 0.000
2.111 6.548 0.000
0.180 0.315 6.939
I F
2 14
direct
0.000 0.000 0.000
0.345 0.401 0.462
0.018 0.718 0.046
0.039 0.462 0.431
0.044 0.960 0.729
0.303 0.437 0.734
0.306 0.933 0.035
0.319 0.685 0.419
0.371 0.115 0.500
0.390 0.364 0.191
0.620 0.787 0.672
0.650 0.338 0.495
0.695 0.069 0.964
0.722 0.612 0.794
0.952 0.041 0.271
0.981 0.284 0.959
```

## Properties
energy relative to the lowest polymorph listed for this composition: 47 meV per atom
mass density: 2.9 Mg/m³
space group: P1 (1)
formation energy (no corrections): -1.27 eV per atom
crystal system: triclinic
calculated total energy: -0.1140 Ha/atom